(1)
# CdNiBiPd

A relaxed CdNiBiPd crystal (PBE-GGA, Alexandria).

Properties
Its volume is 18.5 Å³/atom. As for the formation energy: -42 meV per atom.

abc: 4.7105 4.7105 4.7105
angles: 60.00 60.00 60.00
Closest atoms and distances in Å follow each position.
Fractional positions:
Cd 0.5000 0.5000 0.5000  4 Ni 2.88, 4 Pd 2.88
Pd 0.2500 0.2500 0.2500  4 Cd 2.88, 4 Bi 2.88
Ni 0.7500 0.7500 0.7500  4 Cd 2.88, 4 Bi 2.88
Bi 0.0000 0.0000 0.0000  4 Ni 2.88, 4 Pd 2.88


(2)
# SrGa2Br4

A relaxed SrGa2Br4 crystal (PBE-GGA, Alexandria).

Properties
Its volume is 37.7 Å³/atom. The excess energy over the best structure of this formula in the dataset is 0 meV per atom. Its uncorrected formation energy is -1.189 eV/atom.

abc: 4.4971 8.7307 7.8983
angles: 62.88 89.94 75.03
Closest atoms and distances in Å follow each position.
Fractional positions:
Ga 0.7232 0.5523 0.7069  4 Br 2.99-3.34
Ga 0.2768 0.4477 0.2931  4 Br 2.99-3.34
Br 0.6184 0.7640 0.9737  2 Sr 3.07, 1 Ga 3.34
Br 0.1339 0.7315 0.4340  3 Ga 2.99-3.08, 1 Sr 3.09
Br 0.8661 0.2685 0.5660  3 Ga 2.99-3.08, 1 Sr 3.09
Br 0.3816 0.2360 0.0263  2 Sr 3.07, 1 Ga 3.34
Sr 0.0000 0.0000 0.0000  6 Br 3.07-3.09


(3)
# Cr2SbPb

A relaxed Cr2SbPb crystal (PBE-GGA, Alexandria).

Properties
Its volume is 17.4 Å³/atom. The excess energy over the best structure of this formula in the dataset is 519 meV per atom. Its uncorrected formation energy is 0.799 eV/atom.

abc: 4.6214 4.6214 4.6214
angles: 60.00 60.00 60.00
Closest atoms and distances in Å follow each position.
Fractional positions:
Sb 0.0000 0.0000 0.0000  8 Cr 2.83
Cr 0.7500 0.7500 0.7500  4 Pb 2.83, 4 Sb 2.83
Cr 0.2500 0.2500 0.2500  4 Pb 2.83, 4 Sb 2.83
Pb 0.5000 0.5000 0.5000  8 Cr 2.83


(4)
# LiLaHg

A relaxed LiLaHg crystal (PBE-GGA, Alexandria).

Properties
Its volume is 31.9 Å³/atom. As for the formation energy: 162 meV per atom. The excess energy over the best structure of this formula in the dataset is 518 meV per atom.

abc: 5.1348 5.1348 5.1348
angles: 60.00 60.00 60.00
Closest atoms and distances in Å follow each position.
Fractional positions:
Hg 0.5000 0.5000 0.5000  4 La 3.14
Li 0.0000 0.0000 0.0000  4 La 3.14
La 0.7500 0.7500 0.7500  4 Hg 3.14, 4 Li 3.14


(5)
# Ac2TlRu2

A relaxed Ac2TlRu2 crystal (PBE-GGA, Alexandria).

Properties
Its volume is 27.9 Å³/atom. As for the formation energy: -184 meV per atom.

abc: 4.2588 4.4869 7.5991
angles: 90.00 106.22 90.00
Closest atoms and distances in Å follow each position.
Fractional positions:
Ru 0.7917 0.0000 0.5836  2 Ru 2.45
Ru 0.2083 0.0000 0.4164  2 Ru 2.45
Ac 0.6355 0.5000 0.2703  6 Ru 3.20-3.27
Ac 0.3645 0.5000 0.7297  6 Ru 3.20-3.27
Tl 0.0000 0.0000 0.0000  2 Ru 3.04


(6)
# YMgGa2Pd2

A relaxed YMgGa2Pd2 crystal (PBE-GGA, Alexandria).

Properties
Its volume is 18.6 Å³/atom. As for the formation energy: -740 meV per atom.

abc: 4.4155 4.4155 6.6112
angles: 90.00 90.00 120.00
Closest atoms and distances in Å follow each position.
Fractional positions:
Y 0.0000 0.0000 0.0000  6 Ga 3.14, 6 Pd 3.23, 2 Mg 3.31
Ga 0.6667 0.3333 0.2785  4 Pd 2.55-2.79
Ga 0.3333 0.6667 0.7215  4 Pd 2.55-2.79
Pd 0.6667 0.3333 0.7007  4 Ga 2.55-2.79
Pd 0.3333 0.6667 0.2993  4 Ga 2.55-2.79
Mg 0.0000 0.0000 0.5000  6 Pd 2.87, 6 Ga 2.94


(7)
# KAcPm2S4

A relaxed KAcPm2S4 crystal (PBE-GGA, Alexandria).

Properties
Its volume is 26.0 Å³/atom. Its uncorrected formation energy is -1.919 eV/atom.

abc: 4.1298 7.3930 7.1931
angles: 71.44 90.00 90.00
Closest atoms and distances in Å follow each position.
Fractional positions:
S 0.5000 0.7748 0.2358  3 Pm 2.85-2.90, 1 Ac 3.03, 2 K 3.09
S 0.0000 0.2314 0.2540  3 Pm 2.87-2.90, 2 Ac 3.04, 1 K 3.05
S 0.0000 0.7686 0.7460  3 Pm 2.87-2.90, 2 Ac 3.04, 1 K 3.05
S 0.5000 0.2252 0.7642  3 Pm 2.85-2.90, 1 Ac 3.03, 2 K 3.09
Pm 0.0000 0.0000 0.0000  6 S 2.85-2.87
Pm 0.5000 0.0000 0.5000  6 S 2.90
Ac 0.5000 0.5000 0.0000  6 S 3.03-3.04
K 0.0000 0.5000 0.5000  6 S 3.05-3.09


(8)
# TlIn6Hg2

A relaxed TlIn6Hg2 crystal (PBE-GGA, Alexandria).

Properties
Its volume is 28.3 Å³/atom. As for the formation energy: 14 meV per atom.

abc: 4.5611 4.5611 12.2408
angles: 90.00 90.00 90.00
Closest atoms and distances in Å follow each position.
Fractional positions:
In 0.0000 0.5000 0.2900  2 Hg 3.11, 8 In 3.23-3.44
In 0.5000 0.0000 0.7100  2 Hg 3.11, 8 In 3.23-3.44
In 0.0000 0.0000 0.5000  12 In 3.23-3.44
In 0.0000 0.5000 0.7100  2 Hg 3.11, 8 In 3.23-3.44
In 0.5000 0.5000 0.5000  12 In 3.23-3.44
In 0.5000 0.0000 0.2900  2 Hg 3.11, 8 In 3.23-3.44
Tl 0.0000 0.0000 0.0000  8 Hg 3.53
Hg 0.5000 0.5000 0.8828  1 Hg 2.87, 4 In 3.11
Hg 0.5000 0.5000 0.1172  1 Hg 2.87, 4 In 3.11


(9)
# LaBN2F

A relaxed LaBN2F crystal (PBE-GGA, Alexandria).

Properties
Its volume is 18.5 Å³/atom. The excess energy over the best structure of this formula in the dataset is 0 meV per atom. Its uncorrected formation energy is -1.485 eV/atom.

abc: 4.1238 7.2175 6.3821
angles: 103.09 90.00 90.00
Closest atoms and distances in Å follow each position.
Fractional positions:
B 0.7500 0.6476 0.4117  2 N 1.33-1.36
B 0.2500 0.3524 0.5883  2 N 1.33-1.36
La 0.7500 0.1073 0.2844  3 F 2.44-2.50, 4 N 2.44-2.59
La 0.2500 0.8927 0.7156  3 F 2.44-2.50, 4 N 2.44-2.59
N 0.7500 0.8369 0.4644  1 B 1.33
N 0.2500 0.5456 0.6437  1 B 1.36
N 0.2500 0.1631 0.5356  1 B 1.33
N 0.7500 0.4544 0.3563  1 B 1.36
F 0.7500 0.8839 0.9342  3 La 2.44-2.50, 2 F 2.67
F 0.2500 0.1161 0.0658  3 La 2.44-2.50, 2 F 2.67


(10)
# NdEr3Sc3

A relaxed NdEr3Sc3 crystal (PBE-GGA, Alexandria).

Properties
Its volume is 29.8 Å³/atom. As for the formation energy: 186 meV per atom. The excess energy over the best structure of this formula in the dataset is 0 meV per atom.

abc: 8.4617 8.4617 8.4617
angles: 58.82 58.82 58.82
Closest atoms and distances in Å follow each position.
Fractional positions:
Nd 0.3498 0.3498 0.3498  6 Sc 3.41-3.70, 6 Er 3.55-3.60
Nd 0.6502 0.6502 0.6502  6 Sc 3.41-3.70, 6 Er 3.55-3.60
Sc 0.8326 0.0633 0.2765  4 Sc 3.03-3.20, 3 Er 3.17-3.29
Sc 0.1674 0.9367 0.7235  4 Sc 3.03-3.20, 3 Er 3.17-3.29
Sc 0.2765 0.8326 0.0633  4 Sc 3.03-3.20, 3 Er 3.17-3.29
Sc 0.7235 0.1674 0.9367  4 Sc 3.03-3.20, 3 Er 3.17-3.29
Sc 0.9367 0.7235 0.1674  4 Sc 3.03-3.20, 3 Er 3.17-3.29
Sc 0.0633 0.2765 0.8326  4 Sc 3.03-3.20, 3 Er 3.17-3.29
Er 0.2744 0.4302 0.9352  4 Sc 3.17-3.48, 2 Er 3.47, 1 Nd 3.55
Er 0.9352 0.2744 0.4302  4 Sc 3.17-3.48, 2 Er 3.47, 1 Nd 3.55
Er 0.7256 0.5698 0.0648  4 Sc 3.17-3.48, 2 Er 3.47, 1 Nd 3.55
Er 0.5698 0.0648 0.7256  4 Sc 3.17-3.48, 2 Er 3.47, 1 Nd 3.55
Er 0.4302 0.9352 0.2744  4 Sc 3.17-3.48, 2 Er 3.47, 1 Nd 3.55
Er 0.0648 0.7256 0.5698  4 Sc 3.17-3.48, 2 Er 3.47, 1 Nd 3.55


(11)
# Ac2Ga4Ge3Pd

A relaxed Ac2Ga4Ge3Pd crystal (PBE-GGA, Alexandria).

Properties
Its volume is 22.1 Å³/atom. As for the formation energy: -506 meV per atom.

abc: 4.7140 4.7140 9.9348
angles: 90.00 90.00 90.00
Closest atoms and distances in Å follow each position.
Fractional positions:
Pd 0.5000 0.5000 0.5000  4 Ga 2.64
Ga 0.5000 0.0000 0.6186  3 Ge 2.58-2.64, 2 Pd 2.64
Ga 0.5000 0.5000 0.0000  4 Ge 2.65
Ga 0.0000 0.0000 0.0000  4 Ge 2.65
Ga 0.0000 0.5000 0.3814  3 Ge 2.58-2.64, 2 Pd 2.64
Ge 0.0000 0.5000 0.1218  5 Ga 2.58-2.65
Ge 0.0000 0.0000 0.5000  4 Ga 2.64
Ge 0.5000 0.0000 0.8782  5 Ga 2.58-2.65
Ac 0.0000 0.5000 0.7428  7 Ge 3.37-3.77, 2 Pd 3.37, 9 Ga 3.48-3.59
Ac 0.5000 0.0000 0.2572  2 Pd 3.37, 7 Ge 3.37-3.77, 9 Ga 3.48-3.59


(12)
# Ti2BeV

A relaxed Ti2BeV crystal (PBE-GGA, Alexandria).

Properties
Its volume is 14.1 Å³/atom. As for the formation energy: 8 meV per atom.

abc: 3.0466 3.0466 6.0636
angles: 90.00 90.00 90.00
Closest atoms and distances in Å follow each position.
Fractional positions:
Be 0.5000 0.5000 0.0000  8 Ti 2.60
Ti 0.0000 0.0000 0.2390  4 Be 2.60, 4 V 2.67, 1 Ti 2.90
Ti 0.0000 0.0000 0.7610  4 Be 2.60, 4 V 2.67, 1 Ti 2.90
V 0.5000 0.5000 0.5000  8 Ti 2.67


(13)
# PrTm2Sb

A relaxed PrTm2Sb crystal (PBE-GGA, Alexandria).

Properties
Its volume is 27.7 Å³/atom. The excess energy over the best structure of this formula in the dataset is 346 meV per atom. Its uncorrected formation energy is -0.205 eV/atom.

abc: 5.3907 5.3907 5.3912
angles: 60.00 60.00 60.00
Closest atoms and distances in Å follow each position.
Fractional positions:
Tm 0.2499 0.2499 0.2502  4 Pr 3.30, 4 Sb 3.30
Tm 0.7501 0.7501 0.7498  4 Pr 3.30, 4 Sb 3.30
Pr 0.0000 0.0000 0.0000  8 Tm 3.30
Sb 0.5000 0.5000 0.5000  8 Tm 3.30


(14)
# Na2ZnSe

A relaxed Na2ZnSe crystal (PBE-GGA, Alexandria).

Properties
Its volume is 37.3 Å³/atom. The excess energy over the best structure of this formula in the dataset is 208 meV per atom. Its uncorrected formation energy is -0.301 eV/atom.

abc: 5.9809 5.9809 9.3434
angles: 71.33 71.33 90.00
Closest atoms and distances in Å follow each position.
Fractional positions:
Zn 0.2500 0.7500 0.5000  4 Na 3.26
Zn 0.5000 0.5000 0.0000  4 Na 3.26
Na 0.3750 0.2878 0.7500  2 Se 2.74
Na 0.8750 0.9622 0.7500  2 Se 2.74
Na 0.7122 0.1250 0.2500  2 Se 2.74
Na 0.0378 0.6250 0.2500  2 Se 2.74
Se 0.7500 0.2500 0.5000  4 Na 2.74
Se 0.0000 0.0000 0.0000  4 Na 2.74


(15)
# BeSiTcAg2

A relaxed BeSiTcAg2 crystal (PBE-GGA, Alexandria).

Properties
Its volume is 23.5 Å³/atom. Its uncorrected formation energy is 1.478 eV/atom.

abc: 5.1248 4.4758 5.1248
angles: 90.00 90.00 90.00
Closest atoms and distances in Å follow each position.
Fractional positions:
Be 0.5000 0.5000 0.5000  8 Ag 3.40, 4 Si 3.62
Si 0.0000 0.5000 0.0000  2 Tc 2.24
Ag 0.5000 0.0000 0.0000  2 Tc 2.56
Ag 0.0000 0.0000 0.5000  2 Tc 2.56
Tc 0.0000 0.0000 0.0000  2 Si 2.24


(16)
# YReTeN2

A relaxed YReTeN2 crystal (PBE-GGA, Alexandria).

Properties
Its volume is 18.0 Å³/atom. The excess energy over the best structure of this formula in the dataset is 0 meV per atom. Its uncorrected formation energy is 0.071 eV/atom.

abc: 4.0324 4.0324 5.5200
angles: 90.00 90.00 90.00
Closest atoms and distances in Å follow each position.
Fractional positions:
Te 0.0000 0.0000 0.5000  2 Re 2.76, 4 Y 2.85
Re 0.0000 0.0000 0.0000  4 N 2.02
N 0.0000 0.5000 0.0000  2 Re 2.02
N 0.5000 0.0000 0.0000  2 Re 2.02
Y 0.5000 0.5000 0.5000  4 Te 2.85


(17)
# Tb6Nd4Tm

A relaxed Tb6Nd4Tm crystal (PBE-GGA, Alexandria).

Properties
Its volume is 34.3 Å³/atom. As for the formation energy: 159 meV per atom. The excess energy over the best structure of this formula in the dataset is 0 meV per atom.

abc: 3.5760 11.0395 11.0395
angles: 120.00 90.00 90.00
Closest atoms and distances in Å follow each position.
Fractional positions:
Tb 0.5000 0.1799 0.3599  4 Nd 3.28-3.44, 2 Tb 3.58
Tb 0.5000 0.6401 0.8201  4 Nd 3.28-3.44, 2 Tb 3.58
Tb 0.0000 0.9716 0.4858  5 Nd 3.46-3.59, 6 Tb 3.58-3.69
Tb 0.0000 0.5142 0.0284  5 Nd 3.46-3.59, 6 Tb 3.58-3.69
Tb 0.5000 0.1799 0.8201  4 Nd 3.28-3.44, 2 Tb 3.58
Tb 0.0000 0.5142 0.4858  5 Nd 3.46-3.59, 6 Tb 3.58-3.69
Tm 0.0000 0.0000 0.0000  6 Nd 3.57, 2 Tm 3.58, 6 Tb 3.88
Nd 0.5000 0.8381 0.6763  6 Tb 3.28-3.59, 2 Tm 3.57, 2 Nd 3.58
Nd 0.5000 0.3237 0.1619  6 Tb 3.28-3.59, 2 Tm 3.57, 2 Nd 3.58
Nd 0.0000 0.3333 0.6667  9 Tb 3.44-3.46, 2 Nd 3.58
Nd 0.5000 0.8381 0.1619  6 Tb 3.28-3.59, 2 Tm 3.57, 2 Nd 3.58


(18)
# Rb4Ac3SnTe8

A relaxed Rb4Ac3SnTe8 crystal (PBE-GGA, Alexandria).

Properties
Its volume is 43.1 Å³/atom. Its uncorrected formation energy is -1.230 eV/atom.

abc: 9.6240 10.2386 9.6242
angles: 118.04 120.00 90.00
Closest atoms and distances in Å follow each position.
Fractional positions:
Te 0.2275 0.7055 0.9781  1 Sn 3.19, 2 Ac 3.35
Te 0.7724 0.2944 0.5448  1 Sn 3.19, 2 Ac 3.35
Te 0.7725 0.2945 0.0219  1 Sn 3.19, 2 Ac 3.35
Te 0.7384 0.7150 0.4767  3 Ac 3.34, 3 Rb 3.70
Te 0.2276 0.7056 0.4552  1 Sn 3.19, 2 Ac 3.35
Te 0.7506 0.7055 0.9781  1 Sn 3.19, 2 Ac 3.35
Te 0.2616 0.2850 0.5233  3 Ac 3.34, 3 Rb 3.70
Te 0.2494 0.2945 0.0219  1 Sn 3.19, 2 Ac 3.35
Sn 0.0000 0.5000 0.0000  6 Te 3.19
Ac 0.5000 0.5000 0.0000  6 Te 3.34-3.35
Ac 0.5000 0.5000 0.5000  6 Te 3.34-3.35
Ac 0.0000 0.5000 0.5000  6 Te 3.34-3.35
Rb 0.0000 0.0000 0.0000  6 Te 3.70-3.71
Rb 0.0000 0.0000 0.5000  6 Te 3.70-3.71
Rb 0.5000 0.0000 0.5000  6 Te 3.70-3.71
Rb 0.5000 0.0000 0.0000  6 Te 3.85-3.86


(19)
# MgTl2Pb9

A relaxed MgTl2Pb9 crystal (PBE-GGA, Alexandria).

Properties
Its volume is 30.6 Å³/atom. As for the formation energy: -3 meV per atom.

abc: 4.9903 4.9903 14.7430
angles: 90.00 90.00 90.00
Closest atoms and distances in Å follow each position.
Fractional positions:
Mg 0.0000 0.0000 0.0000  12 Pb 3.42-3.53
Pb 0.5000 0.5000 0.6715  4 Tl 3.53, 8 Pb 3.54-3.55
Pb 0.5000 0.0000 0.8413  8 Pb 3.42-3.54, 2 Mg 3.42, 2 Tl 3.56
Pb 0.0000 0.5000 0.1587  8 Pb 3.42-3.54, 2 Mg 3.42, 2 Tl 3.56
Pb 0.5000 0.0000 0.1587  8 Pb 3.42-3.54, 2 Mg 3.42, 2 Tl 3.56
Pb 0.5000 0.5000 0.0000  8 Pb 3.42, 4 Mg 3.53
Pb 0.5000 0.5000 0.3285  4 Tl 3.53, 8 Pb 3.54-3.55
Pb 0.0000 0.5000 0.8413  8 Pb 3.42-3.54, 2 Mg 3.42, 2 Tl 3.56
Pb 0.5000 0.0000 0.5000  8 Pb 3.53-3.55, 4 Tl 3.53
Pb 0.0000 0.5000 0.5000  8 Pb 3.53-3.55, 4 Tl 3.53
Tl 0.0000 0.0000 0.6695  12 Pb 3.53-3.56
Tl 0.0000 0.0000 0.3305  12 Pb 3.53-3.56


(20)
# Nd3Mg2Ge3

A relaxed Nd3Mg2Ge3 crystal (PBE-GGA, Alexandria).

Properties
Its volume is 25.4 Å³/atom. As for the formation energy: -601 meV per atom.

abc: 6.2349 8.6703 8.6703
angles: 120.00 90.00 90.00
Closest atoms and distances in Å follow each position.
Fractional positions:
Ge 0.2500 0.3724 0.0000  5 Nd 2.92-3.21, 4 Mg 3.15
Ge 0.2500 0.0000 0.3724  5 Nd 2.92-3.21, 4 Mg 3.15
Ge 0.7500 0.0000 0.6276  5 Nd 2.92-3.21, 4 Mg 3.15
Ge 0.2500 0.6276 0.6276  5 Nd 2.92-3.21, 4 Mg 3.15
Ge 0.7500 0.3724 0.3724  5 Nd 2.92-3.21, 4 Mg 3.15
Ge 0.7500 0.6276 0.0000  5 Nd 2.92-3.21, 4 Mg 3.15
Nd 0.2500 0.7150 0.0000  5 Ge 2.92-3.21
Nd 0.2500 0.2850 0.2850  5 Ge 2.92-3.21
Nd 0.7500 0.0000 0.2850  5 Ge 2.92-3.21
Nd 0.7500 0.2850 0.0000  5 Ge 2.92-3.21
Nd 0.7500 0.7150 0.7150  5 Ge 2.92-3.21
Nd 0.2500 0.0000 0.7150  5 Ge 2.92-3.21
Mg 0.0000 0.6667 0.3333  2 Mg 3.12, 6 Ge 3.15, 6 Nd 3.49
Mg 0.5000 0.3333 0.6667  2 Mg 3.12, 6 Ge 3.15, 6 Nd 3.49
Mg 0.0000 0.3333 0.6667  2 Mg 3.12, 6 Ge 3.15, 6 Nd 3.49
Mg 0.5000 0.6667 0.3333  2 Mg 3.12, 6 Ge 3.15, 6 Nd 3.49